Computed, not measured: an optimized crystal structure of LaTb2Sm3P6 at the PBE-GGA level of DFT.

Calculated values
- Total moment: 0.00 Bohr magnetons per cell
- Energy of formation: -1.576 eV per atom

The structure in POSCAR format:
```
LaTb2Sm3P6
1.0
-3.560 -0.083 -6.165
-0.486 -5.524 4.466
-3.916 4.758 3.567
La Sm P Tb
1 3 6 2
Cartesian
0.000 0.000 0.000
-3.981 -0.424 0.934
-5.009 1.394 -2.620
-2.954 -2.243 4.488
-3.980 -2.982 -0.375
-5.438 -1.541 3.215
-3.982 2.133 2.243
-1.479 -1.157 2.267
-2.524 0.693 -1.347
-6.483 0.308 -0.400
-2.536 -1.895 -2.625
-1.510 -3.712 0.926
```

---

Computed, not measured: an optimized crystal structure of Cs2ScCuO4 at the PBE-GGA level of DFT.

Calculated values
- Calculated total energy: -44.72 eV per formula unit
- Total moment: 0.00 Bohr magnetons per cell

The structure in POSCAR format:
```
Cs2ScCuO4
1.0
-4.841 2.471 -0.154
-5.394 -4.529 0.899
-1.937 2.879 11.105
Cs O Sc Cu
4 8 2 2
Cartesian
-7.120 1.628 9.970
-2.114 2.279 7.022
-7.473 0.428 1.803
-4.665 3.071 3.930
-4.106 0.818 0.682
-6.614 -0.804 5.501
-3.190 0.210 5.204
-5.434 1.562 6.353
-6.075 -2.697 1.284
-3.800 2.345 10.639
-9.106 0.674 6.642
-10.362 1.175 11.095
-7.296 1.028 5.887
0.000 0.000 0.000
-4.876 -0.207 5.964
-2.420 1.235 -0.077
```

---

Computed, not measured: an optimized crystal structure of AcZnGa2 at the PBE-GGA level of DFT.

Calculated values
- Total moment: 0.00 Bohr magnetons per cell
- Energy of formation: -0.274 eV per atom
- Relative energy among the computed polymorphs: 252 meV per atom

The structure in POSCAR format:
```
AcZnGa2
1.0
4.588 0.000 0.000
0.000 5.052 -0.370
0.000 -2.011 4.649
Ga Ac Zn
2 1 1
Cartesian
2.294 -0.626 2.055
2.294 0.895 4.194
0.000 -1.632 4.380
2.294 1.901 1.870
```

---

Computed, not measured: an optimized crystal structure of NaYHf at the PBE-GGA level of DFT.

Calculated values
- Total moment: 0.00 Bohr magnetons per cell
- Energy of formation: 0.293 eV per atom
- Relative energy among the computed polymorphs: 174 meV per atom

The structure in POSCAR format:
```
NaYHf
1.0
-3.039 0.963 0.842
-1.856 -6.951 -5.223
-1.800 -4.036 4.586
Hf Y Na
2 2 2
Cartesian
-4.235 -5.739 -1.024
-1.839 -3.961 -0.875
-5.009 -5.328 2.178
-4.621 -8.535 0.790
-0.577 -0.940 0.222
-2.272 -2.590 2.466
```